(1)
A relaxed Sm2AgGe4Pd3 crystal. Source: Alexandria, functional PBE-GGA.

Output
Energy in eV/atom: -5.33
Spin magnetization in μB/atom: 0.00
Formation energy from the elements in eV/atom: -0.70
Calculated volume in Å³/cell: 194.1

Cell lengths 4.319, 4.319, 10.405 Å; angles 90.00, 90.00, 90.00 degrees
Atoms (fractional coordinates):
Sm: 0.000 0.500 0.248
Sm: 0.500 0.000 0.752
Ag: 0.000 0.000 0.500
Ge: 0.000 0.000 0.000
Ge: 0.000 0.500 0.640
Ge: 0.500 0.000 0.360
Ge: 0.500 0.500 0.000
Pd: 0.000 0.500 0.875
Pd: 0.500 0.000 0.125
Pd: 0.500 0.500 0.500

(2)
A relaxed MnTeAu2 crystal. Source: Alexandria, functional PBE-GGA.

Output
Energy in eV/atom: -4.56
Spin magnetization in μB/atom: 0.88
Formation energy without anion corrections in eV/atom: 0.161
Calculated volume in Å³/cell: 335.2

Cell lengths 7.840, 7.840, 5.454 Å; angles 90.00, 90.00, 90.00 degrees
Atoms (fractional coordinates):
Mn: 0.000 0.000 0.000
Mn: 0.000 0.500 0.250
Mn: 0.500 0.000 0.750
Mn: 0.500 0.500 0.500
Te: 0.000 0.000 0.500
Te: 0.000 0.500 0.750
Te: 0.500 0.000 0.250
Te: 0.500 0.500 0.000
Au: 0.235 0.250 0.125
Au: 0.250 0.735 0.375
Au: 0.250 0.765 0.875
Au: 0.265 0.250 0.625
Au: 0.735 0.750 0.625
Au: 0.750 0.235 0.875
Au: 0.750 0.265 0.375
Au: 0.765 0.750 0.125

(3)
A relaxed NdTh2 crystal. Source: Alexandria, functional PBE-GGA.

Output
ΔE to the lowest computed polymorph in meV per atom: 0
Energy in eV/atom: -6.48
Spin magnetization in μB/atom: 0.00
Formation energy from the elements in eV/atom: 0.05
Calculated volume in Å³/cell: 199.2

Cell lengths 3.611, 3.611, 15.269 Å; angles 90.00, 90.00, 90.00 degrees
Atoms (fractional coordinates):
Nd: 0.000 0.000 0.000
Nd: 0.500 0.500 0.500
Th: 0.000 0.000 0.329
Th: 0.000 0.000 0.671
Th: 0.500 0.500 0.171
Th: 0.500 0.500 0.829